(1)
Tb2CdPd2 after structural relaxation, computed with PBE.

Output
- symmetry = P4/mbm
- DOS(E_F) (states/eV/f.u.) = 5.17
- VASP energy (eV per atom) = -4.91
- E_form (meV per atom) = -796
- V (Å³/atom) = 22.42

Unit cell a=7.7566 b=7.7566 c=3.7259 alpha=90.00 beta=90.00 gamma=90.00
Last column: nearest neighbours and their distance in Å.
Sites, in units of the cell vectors:
Tb: 0.1715 0.3285 0.0000  6 Pd 2.88-3.00
Tb: 0.3285 0.8285 0.0000  6 Pd 2.88-3.00
Tb: 0.6715 0.1715 0.0000  6 Pd 2.88-3.00
Tb: 0.8285 0.6715 0.0000  6 Pd 2.88-3.00
Cd: 0.0000 0.0000 0.5000  4 Pd 3.05
Cd: 0.5000 0.5000 0.5000  4 Pd 3.05
Pd: 0.1288 0.6288 0.5000  1 Pd 2.83, 6 Tb 2.88-3.00, 2 Cd 3.05
Pd: 0.3712 0.1288 0.5000  1 Pd 2.83, 6 Tb 2.88-3.00, 2 Cd 3.05
Pd: 0.6288 0.8712 0.5000  1 Pd 2.83, 6 Tb 2.88-3.00, 2 Cd 3.05
Pd: 0.8712 0.3712 0.5000  1 Pd 2.83, 6 Tb 2.88-3.00, 2 Cd 3.05



(2)
Dy2Ga4Rh after structural relaxation, computed with PBE.

Output
- symmetry = I4/mmm
- DOS(E_F) (states/eV/f.u.) = 5.07
- VASP energy (eV per atom) = -4.35
- E_form (meV per atom) = -259
- V (Å³/atom) = 23.51

Unit cell a=8.0259 b=8.0259 c=8.0259 alpha=145.56 beta=145.56 gamma=49.50
Last column: nearest neighbours and their distance in Å.
Sites, in units of the cell vectors:
Dy: 0.1776 0.1776 0.0000  1 Rh 2.59
Dy: 0.8224 0.8224 0.0000  1 Rh 2.59
Ga: 0.0000 0.5000 0.5000  2 Rh 2.38
Ga: 0.3814 0.3814 0.0000  4 Ga 2.94, 1 Dy 2.97
Ga: 0.5000 0.0000 0.5000  2 Rh 2.38
Ga: 0.6186 0.6186 0.0000  4 Ga 2.94, 1 Dy 2.97
Rh: 0.0000 0.0000 0.0000  4 Ga 2.38, 2 Dy 2.59



(3)
SrCoSiPb2 after structural relaxation, computed with PBE.

Output
- symmetry = P4/mmm
- DOS(E_F) (states/eV/f.u.) = 5.68
- VASP energy (eV per atom) = -2.74
- ΔE_f (raw) (meV/atom) = 1589
- V (Å³/atom) = 33.49

Unit cell a=6.0340 b=6.0340 c=4.5992 alpha=90.00 beta=90.00 gamma=90.00
Last column: nearest neighbours and their distance in Å.
Sites, in units of the cell vectors:
Sr: 0.0000 0.0000 0.0000  2 Co 2.30
Co: 0.0000 0.0000 0.5000  2 Sr 2.30
Si: 0.5000 0.5000 0.5000  8 Pb 3.79
Pb: 0.0000 0.5000 0.0000  2 Sr 3.02
Pb: 0.5000 0.0000 0.0000  2 Sr 3.02



Q: What is the VASP energy in the first record?
A: -4.91 eV per atom